! Ba8Na2Sr (PBE, relaxed); values from VASP
&SYSTEM
  ibrav = 0, nat = 11, ntyp = 3
/
ATOMIC_SPECIES
Ba 137.33 Ba.upf
Na 22.99 Na.upf
Sr 87.62 Sr.upf
ATOMIC_POSITIONS crystal
Ba 0.6421 0.1991 0.6841
Ba 0.4483 0.2705 0.0730
Ba 0.3570 0.8014 0.2552
Ba 0.8176 0.0722 0.3341
Ba 0.1816 0.9283 0.6054
Ba 0.5509 0.7300 0.8665
Ba 0.8990 0.5390 0.1698
Ba 0.1000 0.4615 0.7695
Na 0.7248 0.6464 0.5205
Na 0.2738 0.3540 0.4188
Sr 0.9995 0.0003 0.9697
CELL_PARAMETERS angstrom
-6.3142 2.4946 -1.3071
-3.9510 -9.8965 0.2822
-6.4941 -2.6207 8.1191
! - formation enthalpy at 0 K (eV per atom) = 0.0255
! - DOS at the Fermi energy (states/eV per atom) = 1.461
! - theoretical density (Mg/m³) = 3.15
! - space group = P-1 (2)
! - spin magnetization (μB per cell) = 0.0
! - ΔE to the lowest computed polymorph (eV per atom) = 0.0000

! Sm2ErHg4 (PBE, relaxed); values from VASP
&SYSTEM
  ibrav = 0, nat = 7, ntyp = 3
/
ATOMIC_SPECIES
Hg 200.59 Hg.upf
Sm 150.36 Sm.upf
Er 167.26 Er.upf
ATOMIC_POSITIONS crystal
Hg 0.6287 0.6287 0.1140
Hg 0.8734 0.8734 0.3799
Hg 0.1266 0.1266 0.6201
Hg 0.3713 0.3713 0.8860
Sm 0.7556 0.7556 0.7332
Sm 0.2444 0.2444 0.2668
Er 0.0000 0.0000 0.0000
CELL_PARAMETERS angstrom
-0.0576 -3.7084 -3.5305
4.2537 -1.0959 -2.6315
3.6964 -7.5193 4.1245
! - formation enthalpy at 0 K (eV per atom) = -0.3459
! - DOS at the Fermi energy (states/eV per atom) = 0.724
! - theoretical density (Mg/m³) = 10.49
! - space group = R-3m (166)
! - spin magnetization (μB per cell) = 0.0
! - ΔE to the lowest computed polymorph (eV per atom) = 0.0000

! AgGeTe3 (PBE, relaxed); values from VASP
&SYSTEM
  ibrav = 0, nat = 10, ntyp = 3
/
ATOMIC_SPECIES
Te 127.60 Te.upf
Ag 107.87 Ag.upf
Ge 72.64 Ge.upf
ATOMIC_POSITIONS crystal
Te 0.7500 0.3895 0.6125
Te 0.2500 0.1377 0.2502
Te 0.2500 0.3330 0.9304
Te 0.7500 0.8623 0.7498
Te 0.2500 0.6105 0.3875
Te 0.7500 0.6670 0.0696
Ag 0.2500 0.6404 0.6614
Ag 0.7500 0.3596 0.3386
Ge 0.2500 0.7727 0.2061
Ge 0.7500 0.2273 0.7939
CELL_PARAMETERS angstrom
-0.0201 3.2206 2.5918
-1.3634 -4.5555 5.6502
12.1818 -0.1803 0.3184
! - DOS at the Fermi energy (states/eV per atom) = 0.507
! - raw formation energy (kJ per mole of atoms) = 3
! - theoretical density (Mg/m³) = 5.09
! - space group = P2_1/m (11)
! - spin magnetization (μB per cell) = 0.0
! - ΔE to the lowest computed polymorph (eV per atom) = 0.0000

! Li5Cu4Ni2 (PBE, relaxed); values from VASP
&SYSTEM
  ibrav = 0, nat = 11, ntyp = 3
/
ATOMIC_SPECIES
Cu 63.55 Cu.upf
Li 6.94 Li.upf
Ni 58.69 Ni.upf
ATOMIC_POSITIONS crystal
Cu 0.5000 0.2382 0.4185
Cu 0.5000 0.2010 0.8643
Cu 0.5000 0.7990 0.1357
Cu 0.5000 0.7618 0.5815
Li 0.0000 0.5590 0.3384
Li 0.0000 0.8516 0.8584
Li 0.0000 0.5000 0.0000
Li 0.0000 0.4410 0.6616
Li 0.0000 0.1484 0.1416
Ni 0.0000 0.9247 0.3680
Ni 0.0000 0.0753 0.6320
CELL_PARAMETERS angstrom
-1.8729 -1.2592 -1.1647
4.2169 -5.3473 -1.0001
-2.7070 -2.8372 7.4208
! - formation enthalpy at 0 K (eV per atom) = -0.0175
! - DOS at the Fermi energy (states/eV per atom) = 0.446
! - theoretical density (Mg/m³) = 4.61
! - space group = P2/m (10)
! - spin magnetization (μB per cell) = 0.0

! ErCoNiP2 (PBE, relaxed); values from VASP
&SYSTEM
  ibrav = 0, nat = 5, ntyp = 4
/
ATOMIC_SPECIES
Co 58.93 Co.upf
P 30.97 P.upf
Ni 58.69 Ni.upf
Er 167.26 Er.upf
ATOMIC_POSITIONS crystal
Co 0.7500 0.2500 0.5000
P 0.6239 0.6239 0.2479
P 0.3761 0.3761 0.7521
Ni 0.2500 0.7500 0.5000
Er 0.0000 0.0000 0.0000
CELL_PARAMETERS angstrom
3.8411 0.0000 0.0000
0.0000 3.8411 0.0000
-1.9205 -1.9205 4.6676
! - formation enthalpy at 0 K (eV per atom) = -0.9917
! - DOS at the Fermi energy (states/eV per atom) = 0.745
! - theoretical density (Mg/m³) = 8.36
! - space group = I-4m2 (119)
! - spin magnetization (μB per cell) = 0.3

! La2ScSnO (PBE, relaxed); values from VASP
&SYSTEM
  ibrav = 0, nat = 5, ntyp = 4
/
ATOMIC_SPECIES
O 16.00 O.upf
La 138.91 La.upf
Sn 118.71 Sn.upf
Sc 44.96 Sc.upf
ATOMIC_POSITIONS crystal
O 0.0000 0.0000 0.0000
La 0.0000 0.5000 0.0000
La 0.5000 0.0000 0.0000
Sn 0.5000 0.5000 0.5000
Sc 0.0000 0.0000 0.5000
CELL_PARAMETERS angstrom
5.1822 0.0000 0.0000
0.0000 5.1822 0.0000
0.0000 0.0000 4.4005
! - DOS at the Fermi energy (states/eV per atom) = 0.585
! - raw formation energy (kJ per mole of atoms) = -146
! - theoretical density (Mg/m³) = 6.43
! - space group = P4/mmm (123)
! - spin magnetization (μB per cell) = 0.0

- What is the theoretical density in the sixth record?
  6.43 Mg/m³

Copy entry 6 word for word.
! La2ScSnO (PBE, relaxed); values from VASP
&SYSTEM
  ibrav = 0, nat = 5, ntyp = 4
/
ATOMIC_SPECIES
O 16.00 O.upf
La 138.91 La.upf
Sn 118.71 Sn.upf
Sc 44.96 Sc.upf
ATOMIC_POSITIONS crystal
O 0.0000 0.0000 0.0000
La 0.0000 0.5000 0.0000
La 0.5000 0.0000 0.0000
Sn 0.5000 0.5000 0.5000
Sc 0.0000 0.0000 0.5000
CELL_PARAMETERS angstrom
5.1822 0.0000 0.0000
0.0000 5.1822 0.0000
0.0000 0.0000 4.4005
! - DOS at the Fermi energy (states/eV per atom) = 0.585
! - raw formation energy (kJ per mole of atoms) = -146
! - theoretical density (Mg/m³) = 6.43
! - space group = P4/mmm (123)
! - spin magnetization (μB per cell) = 0.0

- Which formula does entry 5 have?
  ErCoNiP2

- Among the records above, which one has the lowest theoretical density?
  Ba8Na2Sr